First-principles (PBE) data for an optimized crystal structure of KNa10Ag2, as listed in Alexandria.

Lattice parameters (Å, degrees): 6.174 9.029 8.920 83.20 69.75 70.01
Element x y z (fractional)
Na 0.026 0.626 0.323
Na 0.500 0.000 0.500
K 0.000 0.000 0.000
Na 0.000 0.000 0.500
Na 0.717 0.764 0.801
Na 0.349 0.626 0.677
Ag 0.000 0.500 0.000
Na 0.482 0.236 0.801
Na 0.974 0.374 0.677
Ag 0.500 0.500 0.000
Na 0.283 0.236 0.199
Na 0.518 0.764 0.199
Na 0.651 0.374 0.323

SG: Fmmm (69)

---

First-principles (PBE) data for an optimized crystal structure of K2Na2Ag, as listed in Alexandria.

Lattice parameters (Å, degrees): 8.766 8.766 6.251 90.00 90.00 90.00
Element x y z (fractional)
Na 0.844 0.344 0.500
K 0.661 0.161 0.000
Ag 0.500 0.500 0.000
Na 0.344 0.156 0.500
K 0.839 0.661 0.000
Na 0.156 0.656 0.500
Ag 0.000 0.000 0.000
Na 0.656 0.844 0.500
K 0.339 0.839 0.000
K 0.161 0.339 0.000

SG: P4/mbm (127)
energy above the lowest structure with this stoichiometry: 0.137 eV/atom

---

First-principles (PBE) data for an optimized crystal structure of K4Na2Ag, as listed in Alexandria.

Lattice parameters (Å, degrees): 6.538 6.538 10.733 107.73 107.73 90.00
Element x y z (fractional)
K 0.178 0.178 0.355
K 0.500 0.000 0.000
Ag 0.000 0.000 0.000
K 0.822 0.822 0.645
Na 0.621 0.621 0.242
Na 0.379 0.379 0.758
K 0.000 0.500 0.000

SG: I4/mmm (139)

---

First-principles (PBE) data for an optimized crystal structure of K3NaAg, as listed in Alexandria.

Lattice parameters (Å, degrees): 4.753 10.238 10.628 91.78 90.00 103.35
Element x y z (fractional)
Ag 0.802 0.638 0.761
K 0.631 0.293 0.771
K 0.414 0.862 0.650
Na 0.435 0.904 0.281
Na 0.608 0.250 0.141
K 0.270 0.573 0.003
K 0.957 0.948 0.981
K 0.087 0.206 0.440
K 0.774 0.581 0.419
Ag 0.242 0.517 0.661

SG: P1 (1)
energy above the lowest structure with this stoichiometry: 0.001 eV/atom

---

First-principles (PBE) data for an optimized crystal structure of KNa2Ag, as listed in Alexandria.

Lattice parameters (Å, degrees): 4.909 6.643 9.521 90.00 90.00 111.36
Element x y z (fractional)
Ag 0.767 0.534 0.750
K 0.055 0.109 0.750
Na 0.662 0.324 0.442
Ag 0.233 0.466 0.250
Na 0.338 0.676 0.942
Na 0.338 0.676 0.558
Na 0.662 0.324 0.058
K 0.945 0.891 0.250

SG: P2_1/m (11)
energy above the lowest structure with this stoichiometry: 0.003 eV/atom

---

First-principles (PBE) data for an optimized crystal structure of KNa2Ag, as listed in Alexandria.

Lattice parameters (Å, degrees): 5.653 5.653 5.653 60.00 60.00 60.00
Element x y z (fractional)
Ag 0.500 0.500 0.500
K 0.000 0.000 0.000
Na 0.750 0.750 0.750
Na 0.250 0.250 0.250

SG: Fm-3m (225)
energy above the lowest structure with this stoichiometry: 0.067 eV/atom

---

First-principles (PBE) data for an optimized crystal structure of KNa3Ag2, as listed in Alexandria.

Lattice parameters (Å, degrees): 5.848 7.888 7.888 87.03 90.00 90.00
Element x y z (fractional)
Na 0.250 0.926 0.425
Ag 0.000 0.237 0.237
Na 0.750 0.942 0.058
K 0.750 0.607 0.393
Ag 0.000 0.763 0.763
Ag 0.500 0.237 0.237
Ag 0.500 0.763 0.763
Na 0.250 0.575 0.074
Na 0.750 0.425 0.926
Na 0.750 0.074 0.575
Na 0.250 0.058 0.942
K 0.250 0.393 0.607

SG: Cmcm (63)

---

First-principles (PBE) data for an optimized crystal structure of KNa5Ag2, as listed in Alexandria.

Lattice parameters (Å, degrees): 4.801 7.957 7.957 73.23 72.44 72.44
Element x y z (fractional)
Ag 0.260 0.240 0.240
Na 0.663 0.522 0.152
Ag 0.740 0.760 0.760
Na 0.000 0.500 0.500
Na 0.663 0.152 0.522
Na 0.337 0.478 0.848
K 0.000 0.000 0.000
Na 0.337 0.848 0.478

SG: Immm (71)

---

| no. | DOS(E_F) (states/eV/atom) | formation enthalpy at 0 K (eV/atom) |
| --- | --- | --- |
| 1 | 0.433 | 0.020 |
| 2 | 0.726 | 0.190 |
| 3 | 0.639 | 0.097 |
| 4 | 0.546 | 0.024 |
| 5 | 0.438 | 0.003 |
| 6 | 0.399 | 0.067 |
| 7 | 0.386 | -0.010 |
| 8 | 0.413 | 0.011 |